1.
# In4SbPb | Alexandria via LeMat-Bulk | PBE | optimized geometry
data_In4SbPb
_chemical_formula_sum 'In4 Sb1 Pb1'
_cell_length_a 6.258
_cell_length_b 6.258
_cell_length_c 6.258
_cell_angle_alpha 60.00
_cell_angle_beta 60.00
_cell_angle_gamma 60.00
_space_group_name_H-M_alt 'P 1'
_space_group_IT_number 1
_space_group_name_Hall 'P 1'
loop_
_atom_site_label
_atom_site_type_symbol
_atom_site_fract_x
_atom_site_fract_y
_atom_site_fract_z
In1 In 0.125 0.125 0.125
In2 In 0.125 0.125 0.624
In3 In 0.125 0.624 0.125
In4 In 0.624 0.125 0.125
Sb1 Sb 0.500 0.500 0.500
Pb1 Pb 0.750 0.750 0.750
# - crystal system = cubic

2.
# Ta2AuSe | Alexandria via LeMat-Bulk | PBE | optimized geometry
data_Ta2AuSe
_chemical_formula_sum 'Ta4 Au2 Se2'
_cell_length_a 7.182
_cell_length_b 7.182
_cell_length_c 7.182
_cell_angle_alpha 131.89
_cell_angle_beta 131.89
_cell_angle_gamma 70.40
_space_group_name_H-M_alt 'P 1'
_space_group_IT_number 1
_space_group_name_Hall 'P 1'
loop_
_atom_site_label
_atom_site_type_symbol
_atom_site_fract_x
_atom_site_fract_y
_atom_site_fract_z
Ta1 Ta 0.125 0.625 0.000
Ta2 Ta 0.375 0.375 0.500
Ta3 Ta 0.625 0.125 0.000
Ta4 Ta 0.875 0.875 0.500
Au1 Au 0.000 0.000 0.000
Au2 Au 0.750 0.250 0.500
Se1 Se 0.250 0.750 0.500
Se2 Se 0.500 0.500 0.000
# - crystal system = tetragonal

3.
# ZrTlSe4 | Alexandria via LeMat-Bulk | PBE | optimized geometry
data_ZrTlSe4
_chemical_formula_sum 'Zr2 Tl2 Se8'
_cell_length_a 7.812
_cell_length_b 7.812
_cell_length_c 6.978
_cell_angle_alpha 112.87
_cell_angle_beta 112.87
_cell_angle_gamma 93.84
_space_group_name_H-M_alt 'P 1'
_space_group_IT_number 1
_space_group_name_Hall 'P 1'
loop_
_atom_site_label
_atom_site_type_symbol
_atom_site_fract_x
_atom_site_fract_y
_atom_site_fract_z
Zr1 Zr 0.001 0.999 0.750
Zr2 Zr 0.999 0.001 0.250
Tl1 Tl 0.368 0.632 0.750
Tl2 Tl 0.632 0.368 0.250
Se1 Se 0.018 0.698 0.371
Se2 Se 0.191 0.289 0.210
Se3 Se 0.289 0.191 0.710
Se4 Se 0.302 0.982 0.129
Se5 Se 0.698 0.018 0.871
Se6 Se 0.711 0.809 0.290
Se7 Se 0.809 0.711 0.790
Se8 Se 0.982 0.302 0.629
# - crystal system = monoclinic
# - energy relative to the lowest polymorph listed for this composition (meV/atom) = 0

Listing formation energy without anion corrections for the structures above in their given order: 0.149; 0.761; -0.673 eV/atom.
Listing total moment for the structures above in their given order: 0.000; 0.000; 0.000 μB/atom.